LiSiAs2, optimized geometry, DFT GGA-PBE; DOS at the Fermi energy = 1.39 states/eV/cell; ΔE_f (raw) = 0.10 eV per atom; space-group type = No. 139; calculated density = 4.5 g/cm³
1.0
4.870 0.013 0.000
1.166 4.728 0.000
-3.018 -2.370 2.998
As Li Si
2 1 1
Direct
0.000 0.000 0.000
0.500 0.500 0.000
0.250 0.750 0.500
0.750 0.250 0.500

***

Sc2NiAg, optimized geometry, DFT GGA-PBE; energy of formation = -12.94 kJ/mol of atoms; DOS at the Fermi energy = 2.46 states/eV/cell; space-group type = No. 216; calculated density = 6.2 g/cm³
1.0
-1.668 4.287 0.004
-1.481 1.896 -3.921
-4.497 0.719 -0.652
Ag Ni Sc
1 1 2
Direct
0.500 0.500 0.500
0.750 0.750 0.750
0.000 0.000 0.000
0.250 0.250 0.250

***

Be4VMo, optimized geometry, DFT GGA-PBE; energy of formation = -27.59 kJ/mol of atoms; DOS at the Fermi energy = 3.30 states/eV/cell; space-group type = No. 216; calculated density = 5.0 g/cm³
1.0
4.404 0.000 0.000
2.202 3.814 0.000
2.202 1.271 3.596
Be Mo V
4 1 1
Direct
0.625 0.625 0.126
0.625 0.126 0.625
0.625 0.625 0.625
0.126 0.625 0.625
0.250 0.250 0.250
0.000 0.000 0.000

***

LaCdTePH, optimized geometry, DFT GGA-PBE; DOS at the Fermi energy = 1.53 states/eV/cell; polymorph energy (0 for the lowest one) = 99 meV per atom; space-group type = No. 6; calculated density = 5.2 g/cm³
1.0
4.469 0.000 0.025
0.000 4.791 0.000
-0.020 0.000 6.157
La Cd Te P H
1 1 1 1 1
Direct
0.931 0.500 0.199
0.842 0.000 0.811
0.426 0.000 0.218
0.933 0.500 0.686
0.248 0.500 0.734

***

Number 1: M_tot 0.00 μB/cell. Number 2: M_tot 0.00 μB/cell. Number 3: M_tot 0.00 μB/cell. Number 4: M_tot 0.00 μB/cell.